[1]
VASP calculation (PBE) on an optimized crystal structure of Ce4PmAu5.

The total energy is -5.117 eV/atom. Its mass density is 11146 kg/m³. The value obtained for the total moment is 4.2 μB/f.u. The value obtained for the density of states at the Fermi level is 29.0 states/eV/f.u. The value obtained for the calculated formation energy is -0.629 eV per atom.

It has space group P4/mmm (No. 123), with a = 3.657 Å, b = 3.657 Å, c = 18.825 Å, α = 90.00°, β = 90.00° and γ = 90.00°. The inequivalent atoms are Ce at (0.000, 0.000, 0.100), Ce at (0.000, 0.000, 0.300), Pm at (0.000, 0.000, 0.500), Au at (0.500, 0.500, 0.000), Au at (0.500, 0.500, 0.200) and Au at (0.500, 0.500, 0.402).

[2]
VASP calculation (PBE) on an optimized crystal structure of CePmAu2.

The total energy is -4.884 eV/atom. Its mass density is 9981 kg/m³. The distance to the lowest polymorph of the same formula comes out at 14.7 kJ per mole of atoms. The value obtained for the total moment is 1.2 μB/f.u. The value obtained for the density of states at the Fermi level is 8.6 states/eV/f.u. The value obtained for the calculated formation energy is -0.574 eV per atom.

It has space group R-3m (No. 166, hexagonal axes), with a = 4.1095 Å, b = 4.1095 Å, c = 23.1741 Å, α = 90.00°, β = 90.00° and γ = 120.00°. The inequivalent atoms are Ce at (0.0000, 0.0000, 0.0000), Pm at (0.0000, 0.0000, 0.5000) and Au at (0.0000, 0.0000, 0.2501).

[3]
VASP calculation (PBE) on an optimized crystal structure of CePm2Au3.

The total energy is -4.925 eV/atom. Its mass density is 11196 kg/m³. The distance to the lowest polymorph of the same formula comes out at 0.5 kJ per mole of atoms. The value obtained for the total moment is 1.1 μB/f.u. The value obtained for the density of states at the Fermi level is 10.7 states/eV/f.u. The value obtained for the calculated formation energy is -0.713 eV per atom.

It has space group Pmmn (No. 59, origin choice 2), with a = 5.243 Å, b = 15.774 Å, c = 3.662 Å, α = 90.00°, β = 90.00° and γ = 90.00°. The inequivalent atoms are Ce at (0.250, 0.250, 0.001), Pm at (0.250, 0.583, 0.999), Au at (0.250, 0.082, 0.500) and Au at (0.250, 0.750, 0.498).

[4]
VASP calculation (PBE) on an optimized crystal structure of CePmAu4.

The total energy is -4.681 eV/atom. Its mass density is 12856 kg/m³. The distance to the lowest polymorph of the same formula comes out at 1.1 kJ per mole of atoms. The value obtained for the total moment is 1.0 μB/f.u. The value obtained for the density of states at the Fermi level is 9.6 states/eV/f.u. The value obtained for the calculated formation energy is -0.716 eV per atom.

It has space group Immm (No. 71), with a = 4.802 Å, b = 6.992 Å, c = 8.257 Å, α = 90.00°, β = 90.00° and γ = 90.00°. The inequivalent atoms are Ce at (0.000, 0.000, 0.000), Pm at (0.000, 0.500, 0.000) and Au at (0.000, 0.252, 0.333).

[5]
VASP calculation (PBE) on an optimized crystal structure of CePm3Au7.

The total energy is -4.586 eV/atom. Its mass density is 11891 kg/m³. The value obtained for the total moment is 0.9 μB/f.u. The value obtained for the density of states at the Fermi level is 12.0 states/eV/f.u. The value obtained for the calculated formation energy is -0.665 eV per atom.

It has space group Cmcm (No. 63), with a = 3.976 Å, b = 22.346 Å, c = 12.285 Å, α = 90.00°, β = 90.00° and γ = 90.00°. The inequivalent atoms are Ce at (0.000, 0.098, 0.250), Pm at (0.000, 0.085, 0.564), Pm at (0.000, 0.285, 0.250), Au at (0.000, 0.216, 0.563), Au at (0.000, 0.341, 0.595), Au at (0.000, 0.426, 0.250) and Au at (0.000, 0.471, 0.606).

[6]
VASP calculation (PBE) on an optimized crystal structure of CePm5Au6.

The total energy is -4.860 eV/atom. Its mass density is 11213 kg/m³. The value obtained for the total moment is 1.1 μB/f.u. The value obtained for the density of states at the Fermi level is 15.0 states/eV/f.u. The value obtained for the calculated formation energy is -0.747 eV per atom.

It has space group P2/m (No. 10), with a = 5.249 Å, b = 7.330 Å, c = 8.288 Å, α = 90.00°, β = 108.09° and γ = 90.00°. The inequivalent atoms are Ce at (0.000, 0.000, 0.000), Pm at (0.000, 0.500, 0.000), Pm at (0.332, 0.000, 0.666), Pm at (0.333, 0.500, 0.667), Au at (0.169, 0.251, 0.334) and Au at (0.500, 0.250, 0.000).

[7]
VASP calculation (PBE) on an optimized crystal structure of CePmAu2.

The total energy is -4.995 eV/atom. Its mass density is 11174 kg/m³. The distance to the lowest polymorph of the same formula comes out at 4.0 kJ per mole of atoms. The value obtained for the total moment is 1.1 μB/f.u. The value obtained for the density of states at the Fermi level is 8.4 states/eV/f.u. The value obtained for the calculated formation energy is -0.685 eV per atom.

It has space group P4/mmm (No. 123), with a = 5.244 Å, b = 5.244 Å, c = 3.669 Å, α = 90.00°, β = 90.00° and γ = 90.00°. The inequivalent atoms are Ce at (0.000, 0.000, 0.000), Pm at (0.500, 0.500, 0.000) and Au at (0.000, 0.500, 0.500).

[8]
VASP calculation (PBE) on an optimized crystal structure of Ce2PmAu3.

The total energy is -5.062 eV/atom. Its mass density is 11155 kg/m³. The distance to the lowest polymorph of the same formula comes out at 0.0 kJ per mole of atoms. The value obtained for the total moment is 2.2 μB/f.u. The value obtained for the density of states at the Fermi level is 15.4 states/eV/f.u. The value obtained for the calculated formation energy is -0.654 eV per atom.

It has space group P4/mmm (No. 123), with a = 3.665 Å, b = 3.665 Å, c = 11.263 Å, α = 90.00°, β = 90.00° and γ = 90.00°. The inequivalent atoms are Ce at (0.000, 0.000, 0.167), Pm at (0.000, 0.000, 0.500), Au at (0.500, 0.500, 0.000) and Au at (0.500, 0.500, 0.336).